[1]
# AlP

Crystalline AlP at its relaxed geometry (GGA-PBEsol, Alexandria).

Summary:
- Crystal system: hexagonal
- Energy of formation: -554 meV/atom
- Size of the total moment: 0.0 μB/f.u.

extended XYZ file:
```
4
Lattice="3.861 0.000 0.000 -1.930 3.343 0.000 0.000 0.000 6.339" Properties=species:S:1:pos:R:3 pbc="T T T"
P 1.930 1.114 3.962
Al 1.930 1.114 6.338
Al 0.000 2.229 3.169
P 0.000 2.229 0.793
```

***

[2]
# AlP

Crystalline AlP at its relaxed geometry (GGA-PBEsol, Alexandria).

Summary:
- Crystal system: hexagonal
- Energy of formation: 296 meV/atom
- Size of the total moment: 0.0 μB/f.u.

extended XYZ file:
```
8
Lattice="4.289 0.000 0.000 -2.145 3.714 0.000 0.000 0.000 8.018" Properties=species:S:1:pos:R:3 pbc="T T T"
Al 0.000 2.476 0.637
P 0.000 0.000 6.013
Al 2.145 1.238 7.380
P 0.000 0.000 2.004
Al 2.145 1.238 4.646
Al 0.000 2.476 3.371
P 0.000 2.476 6.013
P 2.145 1.238 2.004
```

***

[3]
# Al3P

Crystalline Al3P at its relaxed geometry (GGA-PBEsol, Alexandria).

Summary:
- Crystal system: orthorhombic
- Energy of formation: 107 meV/atom
- Size of the total moment: 0.0 μB/f.u.
- Energy relative to the lowest polymorph listed for this composition: 108 meV/atom

extended XYZ file:
```
4
Lattice="-2.429 1.372 -0.970 -2.519 -2.611 2.615 0.386 3.216 3.583" Properties=species:S:1:pos:R:3 pbc="T T T"
Al -2.408 -0.551 0.754
Al -1.476 1.823 1.779
Al -2.448 -2.537 2.541
P -1.588 -0.238 3.640
```

***

[4]
# AlP

Crystalline AlP at its relaxed geometry (GGA-PBEsol, Alexandria).

Summary:
- Crystal system: cubic
- Energy of formation: -557 meV/atom
- Size of the total moment: 0.0 μB/f.u.

extended XYZ file:
```
2
Lattice="-3.551 1.508 0.280 -2.578 -1.562 2.423 -1.046 1.903 3.201" Properties=species:S:1:pos:R:3 pbc="T T T"
Al 0.000 0.000 0.000
P -1.794 0.462 1.476
```

***

[5]
# AlP5

Crystalline AlP5 at its relaxed geometry (GGA-PBEsol, Alexandria).

Summary:
- Crystal system: cubic
- Energy of formation: 600 meV/atom
- Size of the total moment: 0.0 μB/f.u.

extended XYZ file:
```
6
Lattice="5.004 0.000 0.000 2.502 4.333 0.000 2.502 1.444 4.086" Properties=species:S:1:pos:R:3 pbc="T T T"
P 6.246 3.606 2.550
P 3.762 3.606 2.550
Al 0.000 0.000 0.000
P 5.004 2.889 0.522
P 2.502 1.444 1.021
P 5.004 1.455 2.550
```

***

[6]
# AlP

Crystalline AlP at its relaxed geometry (GGA-PBEsol, Alexandria).

Summary:
- Crystal system: orthorhombic
- Energy of formation: 42 meV/atom
- Size of the total moment: 0.0 μB/f.u.

extended XYZ file:
```
2
Lattice="3.206 0.041 0.000 -1.324 2.920 0.000 0.000 0.000 3.421" Properties=species:S:1:pos:R:3 pbc="T T T"
Al 0.000 0.000 0.000
P 0.941 1.481 1.711
```